Ca4S3Cl2: relaxed, GGA-PBE.

Cell lengths 7.0643, 7.0643, 10.1850 Å; angles 120.12, 120.12, 33.11 degrees
Last column: nearest neighbours and their distance in Å.
Fractional coordinates of all 9 atoms:
Ca 0.1001 0.1001 0.3995  5 S 2.81-2.90, 1 Cl 2.87
Ca 0.2831 0.2831 0.2105  3 S 2.75-2.87, 3 Cl 2.84-2.86
Ca 0.7169 0.7169 0.7895  3 S 2.75-2.87, 3 Cl 2.84-2.86
Ca 0.8999 0.8999 0.6005  5 S 2.81-2.90, 1 Cl 2.87
S 0.3029 0.3029 0.6932  5 Ca 2.75-2.82
S 0.5000 0.5000 0.5000  6 Ca 2.87-2.90
S 0.6971 0.6971 0.3068  5 Ca 2.75-2.82
Cl 0.1198 0.1198 0.8852  4 Ca 2.84-2.87
Cl 0.8802 0.8802 0.1148  4 Ca 2.84-2.87

Computed properties:
Crystal system ... monoclinic
E_form (uncorrected) ... -2.1962 eV per atom
D(E_F) ... 0.00 states/eV/atom
M_tot ... 0.000 μB/atom